No. 1
A plane-wave DFT calculation with PBE-GGA was carried out for a relaxed structure of Ti2Tl2Pb.

Cell and atoms, written as POSCAR:
```
Ti2Tl2Pb
1.0
-4.1721 1.3004 -5.8231
0.9488 -6.8705 -2.2141
-3.5010 -1.2051 2.2393
Pb Tl Ti
2 4 4
Direct
0.0000 0.0000 0.0000 Pb
0.5000 0.5000 0.0000 Pb
0.1636 0.6636 0.5000 Tl
0.6636 0.8364 0.5000 Tl
0.8364 0.3364 0.5000 Tl
0.3364 0.1636 0.5000 Tl
0.3647 0.8647 0.0000 Ti
0.8647 0.6353 0.0000 Ti
0.6353 0.1353 0.0000 Ti
0.1353 0.3647 0.0000 Ti
```

## Properties
Polymorph energy (0 for the lowest one): 0.0 kJ/mol of atoms
Formation energy from the elements: 0.8 eV/f.u.
DOS at the Fermi energy: 8.5 states/eV/cell

No. 2
A plane-wave DFT calculation with PBE-GGA was carried out for a relaxed structure of HgSb2Au4.

Cell and atoms, written as POSCAR:
```
HgSb2Au4
1.0
-0.9787 0.2618 4.2790
4.2564 -11.6291 2.3630
11.5388 4.7011 2.3515
Hg Sb Au
4 8 16
Direct
0.6342 0.2259 0.9363 Hg
0.6342 0.7259 0.5637 Hg
0.3658 0.2741 0.4363 Hg
0.3658 0.7741 0.0637 Hg
0.8802 0.4016 0.6621 Sb
0.8802 0.9016 0.8379 Sb
0.1496 0.9283 0.3734 Sb
0.8504 0.5717 0.8734 Sb
0.1198 0.5984 0.3379 Sb
0.8504 0.0717 0.6266 Sb
0.1198 0.0984 0.1621 Sb
0.1496 0.4283 0.1266 Sb
0.8807 0.1300 0.4208 Au
0.1193 0.8700 0.5792 Au
0.3777 0.0003 0.7432 Au
0.1699 0.0782 0.9458 Au
0.1193 0.3700 0.9208 Au
0.0873 0.7175 0.7415 Au
0.8301 0.9218 0.0542 Au
0.9127 0.7825 0.2415 Au
0.3777 0.5003 0.7568 Au
0.6223 0.9997 0.2568 Au
0.8301 0.4218 0.4458 Au
0.9127 0.2825 0.2585 Au
0.0873 0.2175 0.7585 Au
0.6223 0.4997 0.2432 Au
0.8807 0.6300 0.0792 Au
0.1699 0.5782 0.5542 Au
```

## Properties
Raw total energy: -86.30 eV for the cell shown
DOS at the Fermi energy: 8.3 states/eV/cell

No. 3
A plane-wave DFT calculation with PBE-GGA was carried out for a relaxed structure of Tl2MoPb.

Cell and atoms, written as POSCAR:
```
Tl2MoPb
1.0
-5.3064 -0.5177 2.4179
-1.6674 -5.4951 1.1384
4.7732 3.2100 1.0885
Mo Pb Tl
1 1 2
Direct
0.2500 0.7500 0.5000 Mo
0.7500 0.2500 0.5000 Pb
0.0000 0.0000 0.0000 Tl
0.5000 0.5000 0.0000 Tl
```

## Properties
Polymorph energy (0 for the lowest one): 28.8 kJ/mol of atoms
Formation energy from the elements: 3.2 eV/f.u.
DOS at the Fermi energy: 2.5 states/eV/cell

No. 4
A plane-wave DFT calculation with PBE-GGA was carried out for a relaxed structure of CuTe2Br.

Cell and atoms, written as POSCAR:
```
CuTe2Br
1.0
3.9884 0.0000 0.0000
0.0000 4.7301 0.0070
0.0000 2.5909 5.7962
Te Cu Br
2 1 1
Direct
0.0000 0.9454 0.9154 Te
0.0000 0.5546 0.5846 Te
0.5000 0.7500 0.7500 Cu
0.5000 0.2500 0.2500 Br
```

## Properties
Raw total energy: -12.56 eV for the cell shown
DOS at the Fermi energy: 0.8 states/eV/cell

No. 5
A plane-wave DFT calculation with PBE-GGA was carried out for a relaxed structure of Mg3RuPt.

Cell and atoms, written as POSCAR:
```
Mg3RuPt
1.0
4.8413 0.0000 0.0000
0.0000 4.8413 0.0000
0.0000 0.0000 4.8413
Ru Mg Pt
1 3 1
Direct
0.5000 0.5000 0.5000 Ru
0.0000 0.5000 0.0000 Mg
0.0000 0.0000 0.5000 Mg
0.5000 0.0000 0.0000 Mg
0.0000 0.0000 0.0000 Pt
```

## Properties
Polymorph energy (0 for the lowest one): 0.0 kJ/mol of atoms
Formation energy from the elements: 2.1 eV/f.u.
DOS at the Fermi energy: 5.7 states/eV/cell

No. 6
A plane-wave DFT calculation with PBE-GGA was carried out for a relaxed structure of Li2CaNd2Tl2.

Cell and atoms, written as POSCAR:
```
Li2CaNd2Tl2
1.0
4.9216 0.0000 0.0000
2.4608 4.2623 0.0000
2.4608 1.4208 9.3195
Li Ca Nd Tl
2 1 2 2
Direct
0.6080 0.6080 0.1759 Li
0.3920 0.3920 0.8241 Li
0.0000 0.0000 0.0000 Ca
0.1272 0.1272 0.6183 Nd
0.8728 0.8728 0.3817 Nd
0.7397 0.7397 0.7808 Tl
0.2603 0.2603 0.2192 Tl
```

## Properties
Formation energy from the elements: -1.4 eV/f.u.
DOS at the Fermi energy: 4.6 states/eV/cell

No. 7
A plane-wave DFT calculation with PBE-GGA was carried out for a relaxed structure of SnSe3I.

Cell and atoms, written as POSCAR:
```
SnSe3I
1.0
5.3395 0.0000 0.0000
0.0000 5.3395 0.0000
0.0000 0.0000 5.3395
I Sn Se
1 1 3
Direct
0.5000 0.5000 0.5000 I
0.0000 0.0000 0.0000 Sn
0.0000 0.5000 0.0000 Se
0.0000 0.0000 0.5000 Se
0.5000 0.0000 0.0000 Se
```

## Properties
Polymorph energy (0 for the lowest one): 0.0 kJ/mol of atoms
DOS at the Fermi energy: 8.5 states/eV/cell

No. 8
A plane-wave DFT calculation with PBE-GGA was carried out for a relaxed structure of PrEr5Th.

Cell and atoms, written as POSCAR:
```
PrEr5Th
1.0
5.6296 0.0000 0.0000
0.0000 5.6296 0.0000
0.0000 0.0000 7.6586
Pr Er Th
1 5 1
Direct
0.0000 0.0000 0.0000 Pr
0.5000 0.5000 0.0000 Er
0.5000 0.0000 0.2766 Er
0.0000 0.5000 0.2766 Er
0.5000 0.0000 0.7234 Er
0.0000 0.5000 0.7234 Er
0.0000 0.0000 0.5000 Th
```

## Properties
Formation energy from the elements: 2.5 eV/f.u.
DOS at the Fermi energy: 12.2 states/eV/cell